Run i
This record from Alexandria describes crystalline CuSi2Pd2 at its relaxed geometry. The functional is GGA-PBE.

Cell: 7.0760 7.0760 2.9420 Å, 90.00 90.00 90.00°
Fractional coordinates of all 10 atoms:
1 Cu 0.0000 0.0000 0.0000
2 Cu 0.5000 0.5000 0.0000
3 Si 0.1579 0.3421 0.5000
4 Si 0.3421 0.8421 0.5000
5 Si 0.6579 0.1579 0.5000
6 Si 0.8421 0.6579 0.5000
7 Pd 0.1424 0.6424 0.0000
8 Pd 0.3576 0.1424 0.0000
9 Pd 0.6424 0.8576 0.0000
10 Pd 0.8576 0.3576 0.0000

Properties
Fermi-level density of states: 0.410 states/eV per atom
Volume: 14.73 A^3/atom
Space group: P4/mbm

Run ii
This record from Alexandria describes crystalline CuSi2Pd2 at its relaxed geometry. The functional is GGA-PBE.

Cell: 6.1847 6.1847 3.7208 Å, 90.00 90.00 90.00°
Fractional coordinates of all 10 atoms:
1 Cu 0.0000 0.0000 0.0000
2 Cu 0.5000 0.5000 0.0000
3 Si 0.1387 0.3613 0.0000
4 Si 0.3613 0.8613 0.0000
5 Si 0.6387 0.1387 0.0000
6 Si 0.8613 0.6387 0.0000
7 Pd 0.1669 0.6669 0.5000
8 Pd 0.3331 0.1669 0.5000
9 Pd 0.6669 0.8331 0.5000
10 Pd 0.8331 0.3331 0.5000

Properties
Fermi-level density of states: 0.458 states/eV per atom
Volume: 14.23 A^3/atom
Space group: P4/mbm

In order of decreasing stability: run ii, run i.

Run i
This record from Alexandria describes crystalline SmCu2Pd at its relaxed geometry. The functional is GGA-PBE.

Cell: 4.3866 9.8323 6.6261 Å, 90.00 90.00 90.00°
Fractional coordinates of all 16 atoms:
1 Sm 0.0000 0.0894 0.2500
2 Sm 0.0000 0.9106 0.7500
3 Sm 0.5000 0.4106 0.7500
4 Sm 0.5000 0.5894 0.2500
5 Cu 0.0000 0.3795 0.0624
6 Cu 0.0000 0.3795 0.4376
7 Cu 0.0000 0.6205 0.5624
8 Cu 0.0000 0.6205 0.9376
9 Cu 0.5000 0.1205 0.5624
10 Cu 0.5000 0.1205 0.9376
11 Cu 0.5000 0.8795 0.0624
12 Cu 0.5000 0.8795 0.4376
13 Pd 0.0000 0.2049 0.7500
14 Pd 0.0000 0.7951 0.2500
15 Pd 0.5000 0.2951 0.2500
16 Pd 0.5000 0.7049 0.7500

Properties
Fermi-level density of states: 0.378 states/eV per atom
Volume: 17.86 A^3/atom
Space group: Cmcm

Run ii
This record from Alexandria describes crystalline SmCu2Pd at its relaxed geometry. The functional is GGA-PBE.

Cell: 4.3471 4.3471 13.6245 Å, 90.00 90.00 120.00°
Fractional coordinates of all 12 atoms:
1 Sm 0.0000 0.0000 0.0000
2 Sm 0.3333 0.6667 0.6667
3 Sm 0.6667 0.3333 0.3333
4 Cu 0.0000 0.0000 0.2091
5 Cu 0.0000 0.0000 0.7909
6 Cu 0.3333 0.6667 0.4576
7 Cu 0.3333 0.6667 0.8758
8 Cu 0.6667 0.3333 0.1242
9 Cu 0.6667 0.3333 0.5424
10 Pd 0.0000 0.0000 0.5000
11 Pd 0.3333 0.6667 0.1667
12 Pd 0.6667 0.3333 0.8333

Properties
Fermi-level density of states: 0.552 states/eV per atom
Volume: 18.58 A^3/atom
Space group: R-3m

Run iii
This record from Alexandria describes crystalline SmCu2Pd at its relaxed geometry. The functional is GGA-PBE.

Cell: 6.5577 6.5577 6.5577 Å, 90.00 90.00 90.00°
Fractional coordinates of all 16 atoms:
1 Sm 0.0000 0.0000 0.0000
2 Sm 0.0000 0.5000 0.5000
3 Sm 0.5000 0.0000 0.5000
4 Sm 0.5000 0.5000 0.0000
5 Cu 0.2500 0.2500 0.2500
6 Cu 0.2500 0.2500 0.7500
7 Cu 0.2500 0.7500 0.2500
8 Cu 0.2500 0.7500 0.7500
9 Cu 0.7500 0.2500 0.2500
10 Cu 0.7500 0.2500 0.7500
11 Cu 0.7500 0.7500 0.2500
12 Cu 0.7500 0.7500 0.7500
13 Pd 0.0000 0.0000 0.5000
14 Pd 0.0000 0.5000 0.0000
15 Pd 0.5000 0.0000 0.0000
16 Pd 0.5000 0.5000 0.5000

Properties
Fermi-level density of states: 0.594 states/eV per atom
Volume: 17.63 A^3/atom
Space group: Fm-3m

In order of decreasing stability: run i, run ii, run iii.

Run i
This record from Alexandria describes crystalline SmCuPd6 at its relaxed geometry. The functional is GGA-PBE.

Cell: 4.0858 4.0858 7.9268 Å, 90.00 90.00 90.00°
Fractional coordinates of all 8 atoms:
1 Sm 0.0000 0.0000 0.0000
2 Cu 0.0000 0.0000 0.5000
3 Pd 0.0000 0.5000 0.2695
4 Pd 0.0000 0.5000 0.7305
5 Pd 0.5000 0.0000 0.2695
6 Pd 0.5000 0.0000 0.7305
7 Pd 0.5000 0.5000 0.0000
8 Pd 0.5000 0.5000 0.5000

Properties
Fermi-level density of states: 1.212 states/eV per atom
Volume: 16.54 A^3/atom
Space group: P4/mmm

Run ii
This record from Alexandria describes crystalline SmCuPd6 at its relaxed geometry. The functional is GGA-PBE.

Cell: 7.2223 7.2223 7.2223 Å, 44.50 44.50 44.50°
Fractional coordinates of all 8 atoms:
1 Sm 0.0000 0.0000 0.0000
2 Cu 0.5000 0.5000 0.5000
3 Pd 0.0632 0.5713 0.5713
4 Pd 0.4287 0.4287 0.9368
5 Pd 0.4287 0.9368 0.4287
6 Pd 0.5713 0.0632 0.5713
7 Pd 0.5713 0.5713 0.0632
8 Pd 0.9368 0.4287 0.4287

Properties
Fermi-level density of states: 1.334 states/eV per atom
Volume: 21.03 A^3/atom
Space group: R-3m

In order of decreasing stability: run i, run ii.

Run i
This record from Alexandria describes crystalline Sm2Cu3Pd at its relaxed geometry. The functional is GGA-PBE.

Cell: 8.6340 8.3487 5.6877 Å, 73.17 67.75 39.09°
Fractional coordinates of all 12 atoms:
1 Sm 0.2486 0.7514 0.7514
2 Sm 0.2500 0.2500 0.2500
3 Sm 0.7500 0.7500 0.7500
4 Sm 0.7514 0.2486 0.2486
5 Cu 0.1749 0.6627 0.3373
6 Cu 0.3373 0.3373 0.6627
7 Cu 0.3373 0.8251 0.1749
8 Cu 0.6627 0.1749 0.8251
9 Cu 0.6627 0.6627 0.3373
10 Cu 0.8251 0.3373 0.6627
11 Pd 0.1669 0.1669 0.8331
12 Pd 0.8331 0.8331 0.1669

Properties
Fermi-level density of states: 0.618 states/eV per atom
Volume: 19.94 A^3/atom
Space group: Fmmm

Run ii
This record from Alexandria describes crystalline Sm2Cu3Pd at its relaxed geometry. The functional is GGA-PBE.

Cell: 3.6732 4.3285 7.5091 Å, 90.00 90.00 90.00°
Fractional coordinates of all 6 atoms:
1 Sm 0.0000 0.0000 0.0000
2 Sm 0.0000 0.5000 0.4960
3 Cu 0.5000 0.0000 0.6753
4 Cu 0.5000 0.5000 0.1524
5 Cu 0.5000 0.5000 0.8278
6 Pd 0.5000 0.0000 0.3336

Properties
Fermi-level density of states: 0.854 states/eV per atom
Volume: 19.90 A^3/atom
Space group: Pmm2

In order of decreasing stability: run i, run ii.